A plane-wave DFT calculation with PBE-GGA was carried out for a relaxed RbMgAg4 crystal.

**Size of the total moment**: 0.0000 μB/atom
**DFT formation energy**: 97 meV per atom
**DOS(E_F)**: 3.677 states/eV/cell
**Raw total energy**: -2.23 eV per atom
**SG**: No. 216

abc: 5.8245 5.8245 5.8245
angles: 60.00 60.00 60.00
With the nearest neighbours (Å) after each atom.
Positions (direct):
1 Rb 0.0000 0.0000 0.0000  12 Ag 3.42, 4 Mg 3.57
2 Mg 0.7500 0.7500 0.7500  12 Ag 3.41, 4 Rb 3.57
3 Ag 0.3759 0.3759 0.3759  6 Ag 2.89-2.93
4 Ag 0.3759 0.3759 0.8722  6 Ag 2.89-2.93
5 Ag 0.3759 0.8722 0.3759  6 Ag 2.89-2.93
6 Ag 0.8722 0.3759 0.3759  6 Ag 2.89-2.93